LuNbCr4: optimized geometry, GGA-PBE.

a b c (Å): 7.0976 7.0976 7.0976
angles (deg): 90.00 90.00 90.00
Space group F-43m (No. 216)
One atom of each set of equivalent atoms:
Lu (0.0000, 0.0000, 0.0000) (multiplicity 4)
Nb (0.2500, 0.2500, 0.2500) (multiplicity 4)
Cr (0.1249, 0.1249, 0.6249) (multiplicity 16)

## Properties
Formation energy: 72 meV per atom
V: 14.90 Å³/atom

---

Zn2Cd8Hg3: optimized geometry, GGA-PBE.

a b c (Å): 9.2364 14.8794 4.4799
angles (deg): 90.00 90.00 90.00
Space group Cmmm (No. 65)
One atom of each set of equivalent atoms:
Zn (0.0000, 0.2449, 0.0000) (multiplicity 4)
Cd (0.0000, 0.1336, 0.5000) (multiplicity 4)
Cd (0.0000, 0.3532, 0.5000) (multiplicity 4)
Cd (0.2499, 0.1436, 0.0000) (multiplicity 8)
Hg (0.0000, 0.5000, 0.0000) (multiplicity 2)
Hg (0.2396, 0.0000, 0.5000) (multiplicity 4)

## Properties
Formation energy: 48 meV per atom
V: 23.68 Å³/atom

---

BiTe2MoH: optimized geometry, GGA-PBE.

a b c (Å): 5.3232 5.3232 3.9547
angles (deg): 90.00 90.00 90.00
Space group P4/mmm (No. 123)
One atom of each set of equivalent atoms:
Bi (0.0000, 0.0000, 0.0000) (multiplicity 1)
Te (0.0000, 0.5000, 0.5000) (multiplicity 2)
Mo (0.5000, 0.5000, 0.0000) (multiplicity 1)
H (0.0000, 0.0000, 0.5000) (multiplicity 1)

## Properties
Total energy: -0.2974 Ry per atom
V: 22.41 Å³/atom

---

Rb2LiZn3Sb4: optimized geometry, GGA-PBE.

a b c (Å): 4.8825 4.8825 11.4264
angles (deg): 90.00 90.00 90.00
Space group P-4m2 (No. 115)
One atom of each set of equivalent atoms:
Rb (0.0000, 0.5000, 0.2422) (multiplicity 2)
Li (0.5000, 0.5000, 0.0000) (multiplicity 1)
Zn (0.0000, 0.0000, 0.0000) (multiplicity 1)
Zn (0.0000, 0.5000, 0.6371) (multiplicity 2)
Sb (0.0000, 0.0000, 0.5000) (multiplicity 1)
Sb (0.0000, 0.5000, 0.8723) (multiplicity 2)
Sb (0.5000, 0.5000, 0.5000) (multiplicity 1)

## Properties
ΔE_f (raw): -0.30 eV per atom
V: 27.24 Å³/atom

---

Ca3Tb2WN6: optimized geometry, GGA-PBE.

a b c (Å): 5.8642 10.1605 5.9370
angles (deg): 90.00 109.29 90.00
Space group C2/m (No. 12)
One atom of each set of equivalent atoms:
Ca (0.0000, 0.0000, 0.0000) (multiplicity 2)
Ca (0.0000, 0.3374, 0.0000) (multiplicity 4)
Tb (0.0000, 0.1669, 0.5000) (multiplicity 4)
W (0.0000, 0.5000, 0.5000) (multiplicity 2)
N (0.2212, 0.3512, 0.7177) (multiplicity 8)
N (0.2258, 0.5000, 0.2860) (multiplicity 4)

## Properties
ΔE_f (raw): -1.17 eV per atom
V: 13.91 Å³/atom

---

HgSbS2O8: optimized geometry, GGA-PBE.

a b c (Å): 5.0840 5.0840 25.2235
angles (deg): 90.00 90.00 120.00
Space group R-3 (No. 148, hexagonal axes)
One atom of each set of equivalent atoms:
Hg (0.0000, 0.0000, 0.0000) (multiplicity 3)
Sb (0.0000, 0.0000, 0.5000) (multiplicity 3)
S (0.0000, 0.0000, 0.2427) (multiplicity 6)
O (0.0000, 0.0000, 0.3010) (multiplicity 6)
O (0.0083, 0.2819, 0.2220) (multiplicity 18)

## Properties
ΔE_f (raw): -1.09 eV per atom
V: 15.68 Å³/atom

---

LaH2Pt2: optimized geometry, GGA-PBE.

a b c (Å): 6.4528 6.4528 3.6788
angles (deg): 90.00 90.00 90.00
Space group P4/mbm (No. 127)
One atom of each set of equivalent atoms:
La (0.0000, 0.0000, 0.0000) (multiplicity 2)
H (0.1418, 0.3582, 0.0000) (multiplicity 4)
Pt (0.1458, 0.3542, 0.5000) (multiplicity 4)

## Properties
Energy above the lowest structure with this stoichiometry: 0.000 eV/atom
V: 15.32 Å³/atom

---

Ac2InH6Ru: optimized geometry, GGA-PBE.

a b c (Å): 5.0211 5.0211 42.4406
angles (deg): 90.00 90.00 120.00
Space group R-3m (No. 166, hexagonal axes)
One atom of each set of equivalent atoms:
Ac (0.0000, 0.0000, 0.1298) (multiplicity 6)
Ac (0.0000, 0.0000, 0.2962) (multiplicity 6)
In (0.0000, 0.0000, 0.4187) (multiplicity 6)
H (0.0009, 0.5004, 0.8552) (multiplicity 18)
H (0.0031, 0.5016, 0.6893) (multiplicity 18)
Ru (0.0000, 0.0000, 0.0000) (multiplicity 3)
Ru (0.0000, 0.0000, 0.5000) (multiplicity 3)

## Properties
Total energy: -0.3281 Ry per atom
V: 15.44 Å³/atom